[1]
PBE KMnCl, optimized geometry; crystal system = tetragonal; formation energy (no corrections) = -0.17 eV/atom; final energy = -4.205 eV/atom
1.0
-3.0494 3.0502 5.4975
3.0494 -3.0502 5.4975
3.0494 3.0502 -5.4975
Mn Cl K
2 2 2
Cartesian
0.0000 3.0502 0.0000
3.0494 0.0000 0.0000
-0.0011 3.0502 2.7487
3.0505 0.0000 2.7487
0.0001 0.0000 2.7487
3.0493 3.0502 2.7487

[2]
PBE YPRh3, optimized geometry; DFT formation energy = -696 meV per atom; crystal system = cubic; final energy = -7.482 eV/atom
1.0
4.4530 0.0000 0.0000
0.0000 4.4530 0.0000
0.0000 0.0000 4.4530
Rh P Y
3 1 1
Cartesian
2.2265 0.0000 0.0000
0.0000 2.2265 0.0000
0.0000 0.0000 2.2265
0.0000 0.0000 0.0000
2.2265 2.2265 2.2265

no.,offset from the most stable computed form (eV/atom)
1,0.001
2,0.206